1.
The following is a PBE calculation of a relaxed structure of HfZn3Cu2, from Alexandria.

Cell: 4.222 4.222 11.658 Å, 90.00 90.00 120.00°
Fractional positions:
Hf 0.000 0.000 0.250
Hf 0.000 0.000 0.750
Zn 0.000 0.000 0.000
Zn 0.000 0.000 0.500
Zn 0.333 0.667 0.098
Zn 0.333 0.667 0.402
Zn 0.667 0.333 0.598
Zn 0.667 0.333 0.902
Cu 0.333 0.667 0.638
Cu 0.333 0.667 0.862
Cu 0.667 0.333 0.138
Cu 0.667 0.333 0.362

## Properties
SG: No. 194
Uncorrected energy, eV per formula unit: -22.79


2.
The following is a PBE calculation of a relaxed structure of Hf2Zr2Zn4Cu, from Alexandria.

Cell: 6.236 6.236 6.236 Å, 121.85 121.85 86.82°
Fractional positions:
Hf 0.250 0.750 0.500
Hf 0.750 0.250 0.500
Zr 0.222 0.222 0.000
Zr 0.778 0.778 0.000
Zn 0.227 0.227 0.454
Zn 0.227 0.773 0.000
Zn 0.773 0.227 0.000
Zn 0.773 0.773 0.546
Cu 0.500 0.500 0.000

## Properties
SG: No. 139
Uncorrected energy, eV per formula unit: -45.87


3.
The following is a PBE calculation of a relaxed structure of HfZr2Cu, from Alexandria.

Cell: 3.189 3.189 7.949 Å, 90.00 90.00 90.00°
Fractional positions:
Hf 0.000 0.000 0.000
Zr 0.500 0.500 0.275
Zr 0.500 0.500 0.725
Cu 0.000 0.000 0.500

## Properties
SG: No. 123
E above lowest polymorph, eV/atom: 0.000


4.
The following is a PBE calculation of a relaxed structure of Hf2Zr3Cu3, from Alexandria.

Cell: 10.153 10.153 10.153 Å, 161.96 152.24 33.30°
Fractional positions:
Hf 0.230 0.230 0.000
Hf 0.770 0.770 0.000
Zr 0.000 0.000 0.000
Zr 0.376 0.876 0.500
Zr 0.624 0.124 0.500
Cu 0.114 0.614 0.500
Cu 0.500 0.500 0.000
Cu 0.886 0.386 0.500

## Properties
SG: No. 71
Uncorrected energy, eV per formula unit: -58.38